The following is a DFT calculation (PBE) of crystalline Pt2PbCl at its relaxed geometry.

abc: 4.6963 4.6963 4.6963
angles: 109.44 109.44 109.53
Element x y z (fractional)
Pt 0.0000 0.0000 0.0000
Pt 0.7500 0.2500 0.5000
Pb 0.5000 0.5000 0.0000
Cl 0.2500 0.7500 0.5000

Values from the calculation:
- energy relative to the elements, uncorrected (eV/atom) = 0.2725
- E above lowest polymorph (meV/atom) = 360
- spin magnetization (μB/f.u.) = 0.00
- VASP energy (eV per cell) = -16.547

***

The following is a DFT calculation (PBE) of crystalline Ce5PaS6 at its relaxed geometry.

abc: 6.9133 6.9133 6.9167
angles: 99.59 99.59 119.98
Element x y z (fractional)
Ce 0.0000 0.0000 0.0000
Ce 0.1665 0.8335 0.5000
Ce 0.3307 0.6693 0.0000
Ce 0.6693 0.3307 0.0000
Ce 0.8335 0.1665 0.5000
Pa 0.5000 0.5000 0.5000
S 0.0900 0.4180 0.2537
S 0.2552 0.2552 0.7487
S 0.4180 0.0900 0.2537
S 0.5820 0.9100 0.7463
S 0.7448 0.7448 0.2513
S 0.9100 0.5820 0.7463

Values from the calculation:
- energy relative to the elements, uncorrected (eV/atom) = -1.9639
- spin magnetization (μB/f.u.) = 2.18
- VASP energy (eV per cell) = -87.497

***

The following is a DFT calculation (PBE) of crystalline AcPtBr at its relaxed geometry.

abc: 4.4680 4.4680 12.6582
angles: 92.81 92.81 60.09
Element x y z (fractional)
Ac 0.1471 0.1471 0.3153
Ac 0.8529 0.8529 0.6847
Pt 0.1740 0.1740 0.5600
Pt 0.8260 0.8260 0.4400
Br 0.4670 0.4670 0.1623
Br 0.5330 0.5330 0.8377

Values from the calculation:
- energy relative to the elements, uncorrected (eV/atom) = -1.3611
- E above lowest polymorph (meV/atom) = 144
- spin magnetization (μB/f.u.) = 0.00
- VASP energy (eV per cell) = -31.811

***

> Look up the VASP energy of the third one.

-31.811 eV per cell